1.
PBE-GGA Li3InPt4, optimized geometry; SG = C2/m, No. 12; ΔH_f (0 K) = -0.560 eV per atom
1.0
3.871 0.000 -1.045
-0.278 3.866 -1.029
0.045 0.002 7.860
In Pt Li
1 4 3
direct
0.500 0.000 0.000
0.869 0.869 0.737
0.631 0.631 0.263
0.369 0.369 0.737
0.131 0.131 0.263
0.249 0.749 0.498
0.751 0.251 0.502
0.000 0.500 0.000

2.
PBE-GGA Li2InPt, optimized geometry; SG = I-4m2, No. 119; ΔH_f (0 K) = -0.574 eV per atom
1.0
4.511 -0.106 0.000
0.132 4.511 0.000
-2.322 -2.202 3.181
Li Pt In
2 1 1
direct
0.000 0.000 0.000
0.250 0.750 0.500
0.500 0.500 0.000
0.750 0.250 0.500

3.
PBE-GGA LiInPt, optimized geometry; SG = F-43m, No. 216; ΔH_f (0 K) = -0.469 eV per atom
1.0
4.428 0.000 0.000
2.214 3.834 0.000
2.214 1.278 3.615
Li Pt In
1 1 1
direct
0.500 0.500 0.500
0.750 0.750 0.750
0.000 0.000 0.000

4.
PBE-GGA Li6InPt, optimized geometry; SG = Amm2, No. 38; ΔH_f (0 K) = -0.300 eV per atom
1.0
4.064 0.000 0.000
0.000 5.571 1.246
0.000 -1.350 5.546
Li In Pt
6 1 1
direct
0.500 0.383 0.134
0.000 0.612 0.850
0.500 0.881 0.119
0.000 0.602 0.398
0.500 0.866 0.617
0.000 0.150 0.388
0.000 0.130 0.870
0.500 0.375 0.625

5.
PBE-GGA LiInPt, optimized geometry; SG = P3m1, No. 156; ΔH_f (0 K) = -0.228 eV per atom
1.0
-1.469 -2.531 0.940
2.369 -0.231 -1.944
4.154 -0.508 5.124
In Li Pt
1 1 1
direct
0.000 0.000 0.988
0.667 0.333 0.358
0.333 0.667 0.654

6.
PBE-GGA Li3InPt2, optimized geometry; SG = Imm2, No. 44; ΔH_f (0 K) = -0.379 eV per atom
1.0
-2.472 1.520 -0.368
-1.442 -2.470 -0.511
-0.459 -0.574 12.322
In Li Pt
1 3 2
direct
0.451 0.951 0.902
0.303 0.803 0.605
0.692 0.692 0.383
0.559 0.559 0.118
0.127 0.127 0.254
0.868 0.368 0.737

7.
PBE-GGA Li2InPt, optimized geometry; SG = I-42d, No. 122; ΔH_f (0 K) = -0.297 eV per atom
1.0
-3.173 2.147 -0.654
-1.219 -2.600 -2.620
-6.851 -5.001 5.267
Pt In Li
2 2 4
direct
0.000 0.000 0.000
0.750 0.250 0.500
0.500 0.500 0.000
0.250 0.750 0.500
0.375 0.342 0.750
0.092 0.625 0.250
0.658 0.125 0.250
0.875 0.908 0.750

8.
PBE-GGA LiIn3Pt, optimized geometry; SG = Pm-3m, No. 221; ΔH_f (0 K) = -0.121 eV per atom; polymorph energy (0 for the lowest one) = 0.194 eV/atom
1.0
-2.691 1.268 -4.269
-4.452 -0.615 2.623
0.135 5.009 1.403
In Pt Li
3 1 1
direct
0.500 0.000 0.000
0.000 0.500 0.000
0.000 0.000 0.500
0.000 0.000 0.000
0.500 0.500 0.500

9.
PBE-GGA LiIn2Pt2, optimized geometry; SG = P4/mbm, No. 127; ΔH_f (0 K) = -0.514 eV per atom; polymorph energy (0 for the lowest one) = 0.000 eV/atom
1.0
-4.357 -5.866 -0.495
4.326 -2.772 -5.220
1.917 -1.631 2.455
In Pt Li
4 4 2
direct
0.339 0.161 0.500
0.661 0.839 0.500
0.161 0.661 0.500
0.839 0.339 0.500
0.640 0.140 0.000
0.360 0.860 0.000
0.140 0.360 0.000
0.860 0.640 0.000
0.000 0.000 0.000
0.500 0.500 0.000

10.
PBE-GGA LiIn2Pt2, optimized geometry; SG = P2_1/m, No. 11; ΔH_f (0 K) = -0.513 eV per atom; polymorph energy (0 for the lowest one) = 0.002 eV/atom
1.0
4.352 0.000 0.000
0.000 4.498 -0.053
0.000 0.123 9.792
In Pt Li
4 4 2
direct
0.250 0.750 0.670
0.250 0.750 0.999
0.750 0.250 0.001
0.750 0.250 0.330
0.750 0.750 0.492
0.750 0.750 0.168
0.250 0.250 0.508
0.250 0.250 0.832
0.250 0.751 0.332
0.750 0.249 0.668

11.
PBE-GGA Li5In6Pt, optimized geometry; SG = Immm, No. 71; ΔH_f (0 K) = -0.320 eV per atom
1.0
-0.449 3.376 3.088
-5.033 3.125 -4.149
-2.190 -6.879 3.780
In Li Pt
6 5 1
direct
0.834 0.587 0.668
0.500 0.242 0.000
0.834 0.080 0.668
0.166 0.413 0.332
0.166 0.920 0.332
0.500 0.758 0.000
0.667 0.167 0.333
0.333 0.833 0.667
0.000 0.500 0.000
0.337 0.337 0.674
0.663 0.663 0.326
0.000 0.000 0.000

12.
PBE-GGA Li5InPt, optimized geometry; SG = P4/mmm, No. 123; ΔH_f (0 K) = -0.262 eV per atom; polymorph energy (0 for the lowest one) = 0.000 eV/atom
1.0
3.888 0.650 0.000
-0.650 3.888 0.000
0.000 0.000 7.841
Li Pt In
5 1 1
direct
0.500 0.000 0.266
0.000 0.000 0.500
0.000 0.500 0.734
0.000 0.500 0.266
0.500 0.000 0.734
0.500 0.500 0.500
0.000 0.000 0.000

| no. | size of the total moment (μB per atom) |
| --- | --- |
| 1 | 0.0000 |
| 2 | 0.0000 |
| 3 | 0.0000 |
| 4 | 0.0000 |
| 5 | 0.0000 |
| 6 | 0.0000 |
| 7 | 0.0000 |
| 8 | 0.0000 |
| 9 | 0.0000 |
| 10 | 0.0000 |
| 11 | 0.0000 |
| 12 | 0.0000 |